Entry from the Alexandria database: crystalline AlReF3 at its relaxed geometry (PBE).

CIF file:
```
data_AlReF3
_chemical_formula_sum 'Al1 Re1 F3'
_cell_length_a 4.246
_cell_length_b 4.246
_cell_length_c 4.246
_cell_angle_alpha 90.00
_cell_angle_beta 90.00
_cell_angle_gamma 90.00
_space_group_name_H-M_alt 'P m -3 m'
_space_group_IT_number 221
_space_group_name_Hall '-P 4 2 3'
loop_
_atom_site_label
_atom_site_type_symbol
_atom_site_fract_x
_atom_site_fract_y
_atom_site_fract_z
_atom_site_occupancy
Al1 Al 0.000 0.000 0.000 1
Re1 Re 0.500 0.500 0.500 1
F1 F 0.000 0.500 0.500 1
```

Raw formation energy (eV/atom): -0.62
DOS(E_F) (states/eV/atom): 0.74
E_tot (eV per cell): -24.9
Distance to the lowest polymorph of the same formula (meV per atom): 140